No. 1
A geometry-optimized KSrAgBr4 structure, computed with PBE.

Properties
D(E_F) (states/eV per atom): 0.000

```
data_KSrAgBr4
_symmetry_space_group_name_H-M 'P 1 21/m 1'
_symmetry_Int_Tables_number 11
_symmetry_space_group_name_Hall '-P 2yb'
_cell_length_a 7.413
_cell_length_b 7.611
_cell_length_c 9.131
_cell_angle_alpha 90.00
_cell_angle_beta 107.87
_cell_angle_gamma 90.00
loop_
_atom_site_label
_atom_site_type_symbol
_atom_site_fract_x
_atom_site_fract_y
_atom_site_fract_z
_atom_site_occupancy
K1 K 0.225 0.250 0.050 1
Sr1 Sr 0.222 0.250 0.556 1
Ag1 Ag 0.246 0.750 0.319 1
Br1 Br 0.018 0.510 0.723 1
Br2 Br 0.461 0.750 0.135 1
Br3 Br 0.479 0.750 0.609 1
```

No. 2
A geometry-optimized KTb2AgBr8 structure, computed with PBE.

Properties
D(E_F) (states/eV per atom): 0.000

```
data_KTb2AgBr8
_symmetry_space_group_name_H-M 'P 1 2/m 1'
_symmetry_Int_Tables_number 10
_symmetry_space_group_name_Hall '-P 2y'
_cell_length_a 7.015
_cell_length_b 8.617
_cell_length_c 7.233
_cell_angle_alpha 90.00
_cell_angle_beta 96.60
_cell_angle_gamma 90.00
loop_
_atom_site_label
_atom_site_type_symbol
_atom_site_fract_x
_atom_site_fract_y
_atom_site_fract_z
_atom_site_occupancy
K1 K 0.000 0.000 0.000 1
Tb1 Tb 0.500 0.257 0.500 1
Ag1 Ag 0.000 0.500 0.000 1
Br1 Br 0.259 0.275 0.167 1
Br2 Br 0.278 0.500 0.638 1
Br3 Br 0.288 0.000 0.632 1
```

No. 3
A geometry-optimized KTbAgBr6 structure, computed with PBE.

Properties
D(E_F) (states/eV per atom): 0.326

```
data_KTbAgBr6
_symmetry_space_group_name_H-M 'P 1'
_symmetry_Int_Tables_number 1
_symmetry_space_group_name_Hall 'P 1'
_cell_length_a 7.106
_cell_length_b 7.109
_cell_length_c 7.371
_cell_angle_alpha 92.44
_cell_angle_beta 92.49
_cell_angle_gamma 115.19
loop_
_atom_site_label
_atom_site_type_symbol
_atom_site_fract_x
_atom_site_fract_y
_atom_site_fract_z
_atom_site_occupancy
K1 K 0.000 0.000 0.000 1
Tb1 Tb 0.330 0.670 0.501 1
Ag1 Ag 0.677 0.323 0.501 1
Br1 Br 0.017 0.357 0.693 1
Br2 Br 0.019 0.629 0.248 1
Br3 Br 0.373 0.980 0.755 1
Br4 Br 0.399 0.367 0.275 1
Br5 Br 0.633 0.600 0.727 1
Br6 Br 0.644 0.984 0.308 1
```

No. 4
A geometry-optimized KTcAgBr6 structure, computed with PBE.

```
data_KTcAgBr6
_symmetry_space_group_name_H-M 'P -3 1 c'
_symmetry_Int_Tables_number 163
_symmetry_space_group_name_Hall '-P 3 2c'
_cell_length_a 7.2116
_cell_length_b 7.2116
_cell_length_c 13.8614
_cell_angle_alpha 90.00
_cell_angle_beta 90.00
_cell_angle_gamma 120.00
loop_
_atom_site_label
_atom_site_type_symbol
_atom_site_fract_x
_atom_site_fract_y
_atom_site_fract_z
_atom_site_occupancy
K1 K 0.0000 0.0000 0.0000 1
Tc1 Tc 0.3333 0.6667 0.2500 1
Ag1 Ag 0.3333 0.6667 0.7500 1
Br1 Br 0.0369 0.3913 0.1436 1
```

| no. | E_form (uncorrected) (eV per atom) | magnetization (μB/f.u.) | E (eV per atom) |
| --- | --- | --- | --- |
| 1 | -1.479 | 0.00 | -3.239 |
| 2 | -1.565 | 0.00 | -3.781 |
| 3 | -1.279 | 0.93 | -3.348 |
| 4 | -0.674 | 2.89 | -3.380 |